(1)
PmSi4Sn: optimized geometry, PBE-GGA.

Calculated values
crystal system	cubic
raw formation energy	-0.061	eV/atom

Unit cell a=7.6430 b=7.6430 c=7.6430 alpha=90.00 beta=90.00 gamma=90.00
Space group F-43m (No. 216)
One atom of each set of equivalent atoms:
Pm 0.0000 0.0000 0.0000
Si 0.1250 0.1250 0.6250
Sn 0.2500 0.2500 0.2500

---

(2)
Cs2RbTl3: optimized geometry, PBE-GGA.

Calculated values
crystal system	monoclinic
ΔE_f	-0.010	eV per atom

Unit cell a=8.7908 b=8.7378 c=13.8354 alpha=90.00 beta=108.03 gamma=90.00
Space group C2/c (No. 15)
One atom of each set of equivalent atoms:
Cs 0.1607 0.1305 0.0829
Rb 0.0000 0.3887 0.2500
Tl 0.0000 0.1254 0.7500
Tl 0.1771 0.3718 0.5889